! Pa2FePdO8 GGA+U optimized geometry; values from VASP
&SYSTEM
  ibrav = 0, nat = 12, ntyp = 4
/
ATOMIC_SPECIES
Pa 231.04 Pa.upf
O 16.00 O.upf
Fe 55.84 Fe.upf
Pd 106.42 Pd.upf
ATOMIC_POSITIONS angstrom
Pa -0.988 1.358 -3.327
O -1.899 -0.261 -1.992
O -0.426 -0.753 -4.070
Pa -1.427 -2.350 -2.623
O -3.758 -2.359 -2.159
O -2.971 -3.528 1.754
O -2.617 0.754 -4.816
Fe 0.000 0.000 0.000
O -3.797 -1.444 0.447
O -1.894 -3.535 -0.789
O -3.053 2.153 -2.675
Pd -3.677 0.107 -0.952
CELL_PARAMETERS angstrom
-3.238 3.815 -1.657
1.262 -1.099 -4.998
-3.128 -4.959 3.080
! E_tot: -8.08 eV/atom
! Total magnetization: 0.664 μB per atom